A plane-wave DFT calculation with PBE was carried out for a relaxed structure of BiP2S6.

Cell: 7.8955 6.9641 6.9641 Å, 120.00 90.00 90.00°
Element x y z (fractional)
1 S 0.7462 0.6613 0.8306
2 S 0.2538 0.8306 0.1694
3 Bi 0.0000 0.0000 0.0000
4 S 0.2538 0.3387 0.1694
5 P 0.2411 0.6667 0.3333
6 S 0.7462 0.1694 0.8306
7 S 0.7462 0.1694 0.3387
8 P 0.7589 0.3333 0.6667
9 S 0.2538 0.8306 0.6613

Raw formation energy: 0.143 eV per formula unit
M_tot: 0.0 μB/f.u.
ΔE to the lowest computed polymorph: 100 meV/atom

A plane-wave DFT calculation with PBE was carried out for a relaxed structure of Bi2P2S7.

Cell: 5.7704 7.0840 7.0840 Å, 95.77 98.75 98.75°
Element x y z (fractional)
1 Bi 0.0000 0.7093 0.2907
2 S 0.2807 0.5955 0.5955
3 P 0.4142 0.2250 0.2250
4 S 0.7606 0.8990 0.5676
5 P 0.5858 0.7750 0.7750
6 S 0.5000 0.0000 0.0000
7 Bi 0.0000 0.2907 0.7093
8 S 0.7606 0.5676 0.8990
9 S 0.2394 0.1010 0.4324
10 S 0.7193 0.4045 0.4045
11 S 0.2394 0.4324 0.1010

Raw formation energy: -1.051 eV per formula unit
M_tot: 0.0 μB/f.u.

A plane-wave DFT calculation with PBE was carried out for a relaxed structure of BiP2S6.

Cell: 7.0046 8.3960 8.3960 Å, 84.54 74.04 74.04°
Element x y z (fractional)
1 Bi 0.2500 0.1362 0.8638
2 S 0.0097 0.4141 0.2904
3 S 0.0926 0.1359 0.5926
4 S 0.4903 0.7096 0.5859
5 S 0.6796 0.9646 0.8041
6 S 0.4074 0.4074 0.8641
7 P 0.7801 0.7756 0.6338
8 S 0.1796 0.8041 0.9646
9 P 0.2801 0.6338 0.7756
10 S 0.9903 0.5859 0.7096
11 S 0.3204 0.0354 0.1959
12 S 0.5926 0.5926 0.1359
13 S 0.8204 0.1959 0.0354
14 S 0.9074 0.8641 0.4074
15 S 0.5097 0.2904 0.4141
16 P 0.7199 0.3662 0.2244
17 P 0.2199 0.2244 0.3662
18 Bi 0.7500 0.8638 0.1362

Raw formation energy: -0.755 eV per formula unit
M_tot: 0.0 μB/f.u.
ΔE to the lowest computed polymorph: 0 meV/atom

A plane-wave DFT calculation with PBE was carried out for a relaxed structure of BiPS2.

Cell: 8.6390 8.6390 8.6390 Å, 23.54 23.54 23.54°
Element x y z (fractional)
1 Bi 0.0000 0.0000 0.0000
2 P 0.5000 0.5000 0.5000
3 S 0.8881 0.8881 0.8881
4 S 0.1119 0.1119 0.1119

Raw formation energy: 0.291 eV per formula unit
M_tot: 0.0 μB/f.u.
ΔE to the lowest computed polymorph: 0 meV/atom

A plane-wave DFT calculation with PBE was carried out for a relaxed structure of Bi2PS.

Cell: 5.0539 5.0539 5.0539 Å, 60.00 60.00 60.00°
Element x y z (fractional)
1 P 0.0000 0.0000 0.0000
2 S 0.5000 0.5000 0.5000
3 Bi 0.7500 0.7500 0.7500
4 Bi 0.2500 0.2500 0.2500

Raw formation energy: 0.707 eV per formula unit
M_tot: 0.0 μB/f.u.
ΔE to the lowest computed polymorph: 155 meV/atom

A plane-wave DFT calculation with PBE was carried out for a relaxed structure of Bi2PS.

Cell: 3.9239 3.9239 7.9980 Å, 75.80 75.80 60.00°
Element x y z (fractional)
1 Bi 0.2583 0.2583 0.2250
2 Bi 0.0819 0.0819 0.7542
3 S 0.4927 0.4927 0.5220
4 P 0.6671 0.6671 0.9988

Raw formation energy: 0.087 eV per formula unit
M_tot: 0.0 μB/f.u.
ΔE to the lowest computed polymorph: 0 meV/atom